Density functional theory data (SCAN) for a crystal of Cr2ReAs relaxed with PBEsol.

Structure (CIF):
```
data_Cr2ReAs
_cell_length_a 2.974
_cell_length_b 2.974
_cell_length_c 5.773
_cell_angle_alpha 90.00
_cell_angle_beta 90.00
_cell_angle_gamma 90.00
_space_group_name_H-M_alt 'P 4/m m m'
_space_group_IT_number 123
_space_group_name_Hall '-P 4 2'
loop_
_atom_site_label
_atom_site_fract_x
_atom_site_fract_y
_atom_site_fract_z
_atom_site_occupancy
Cr1 0.000 0.000 0.244 1
Re1 0.500 0.500 0.500 1
As1 0.500 0.500 0.000 1
```

Properties
* energy of formation: 0.111 eV/atom
* E_tot: -127.61 eV/cell


Density functional theory data (SCAN) for a crystal of Cr2ReAs relaxed with PBEsol.

Structure (CIF):
```
data_Cr2ReAs
_cell_length_a 2.797
_cell_length_b 3.781
_cell_length_c 4.883
_cell_angle_alpha 90.00
_cell_angle_beta 90.00
_cell_angle_gamma 90.00
_space_group_name_H-M_alt 'P m m m'
_space_group_IT_number 47
_space_group_name_Hall '-P 2 2'
loop_
_atom_site_label
_atom_site_fract_x
_atom_site_fract_y
_atom_site_fract_z
_atom_site_occupancy
Cr1 0.000 0.000 0.236 1
Re1 0.500 0.500 0.500 1
As1 0.500 0.500 0.000 1
```

Properties
* energy of formation: 0.181 eV/atom
* E_tot: -127.33 eV/cell


Density functional theory data (SCAN) for a crystal of Cr2ReAs relaxed with PBEsol.

Structure (CIF):
```
data_Cr2ReAs
_cell_length_a 2.7549
_cell_length_b 2.7549
_cell_length_c 23.9673
_cell_angle_alpha 90.00
_cell_angle_beta 90.00
_cell_angle_gamma 120.00
_space_group_name_H-M_alt 'R -3 m'
_space_group_IT_number 166
_space_group_name_Hall '-R 3 2"'
loop_
_atom_site_label
_atom_site_fract_x
_atom_site_fract_y
_atom_site_fract_z
_atom_site_occupancy
Cr1 0.0000 0.0000 0.2481 1
Re1 0.0000 0.0000 0.0000 1
As1 0.0000 0.0000 0.5000 1
```

Properties
* energy of formation: 0.279 eV/atom
* E_tot: -380.83 eV/cell


Density functional theory data (SCAN) for a crystal of CrReAs2 relaxed with PBEsol.

Structure (CIF):
```
data_CrReAs2
_cell_length_a 6.182
_cell_length_b 6.182
_cell_length_c 6.182
_cell_angle_alpha 90.00
_cell_angle_beta 90.00
_cell_angle_gamma 90.00
_space_group_name_H-M_alt 'F -4 3 m'
_space_group_IT_number 216
_space_group_name_Hall 'F -4 2 3'
loop_
_atom_site_label
_atom_site_fract_x
_atom_site_fract_y
_atom_site_fract_z
_atom_site_occupancy
Cr1 0.000 0.000 0.000 1
Re1 0.250 0.250 0.250 1
As1 0.000 0.000 0.500 1
As2 0.250 0.250 0.750 1
```

Properties
* energy of formation: 0.497 eV/atom
* offset from the most stable computed form: 112 meV per atom
* E_tot: -511.50 eV/cell


Density functional theory data (SCAN) for a crystal of CrReAs2W relaxed with PBEsol.

Structure (CIF):
```
data_CrReAs2W
_cell_length_a 4.375
_cell_length_b 4.375
_cell_length_c 4.553
_cell_angle_alpha 90.00
_cell_angle_beta 90.00
_cell_angle_gamma 90.00
_space_group_name_H-M_alt 'P 4/m m m'
_space_group_IT_number 123
_space_group_name_Hall '-P 4 2'
loop_
_atom_site_label
_atom_site_fract_x
_atom_site_fract_y
_atom_site_fract_z
_atom_site_occupancy
Cr1 0.000 0.000 0.000 1
Re1 0.500 0.500 0.500 1
As1 0.000 0.500 0.000 1
W1 0.000 0.000 0.500 1
```

Properties
* energy of formation: 1.619 eV/atom
* E_tot: -191.46 eV/cell


Density functional theory data (SCAN) for a crystal of CrAsRh relaxed with PBEsol.

Structure (CIF):
```
data_CrAsRh
_cell_length_a 6.3900
_cell_length_b 6.3900
_cell_length_c 3.6723
_cell_angle_alpha 90.00
_cell_angle_beta 90.00
_cell_angle_gamma 120.00
_space_group_name_H-M_alt 'P -6 2 m'
_space_group_IT_number 189
_space_group_name_Hall 'P -6 -2'
loop_
_atom_site_label
_atom_site_fract_x
_atom_site_fract_y
_atom_site_fract_z
_atom_site_occupancy
Cr1 0.0000 0.4084 0.0000 1
As1 0.0000 0.0000 0.0000 1
As2 0.3333 0.6667 0.5000 1
Rh1 0.0000 0.7449 0.5000 1
```

Properties
* energy of formation: -0.527 eV/atom
* E_tot: -221.79 eV/cell